# Dy3AlCu2 GGA-PBE relaxed
data_Dy3AlCu2
_chemical_formula_sum 'Dy3 Al1 Cu2'
_cell_length_a 3.4641
_cell_length_b 3.4641
_cell_length_c 10.8527
_cell_angle_alpha 90.00
_cell_angle_beta 90.00
_cell_angle_gamma 90.00
_space_group_name_H-M_alt 'P 1'
_space_group_IT_number 1
loop_
_space_group_symop_operation_xyz
'x,y,z'
loop_
_atom_site_label
_atom_site_fract_x
_atom_site_fract_y
_atom_site_fract_z
Dy1 0.0000 0.0000 0.0000
Dy2 0.0000 0.0000 0.3221
Dy3 0.0000 0.0000 0.6779
Al1 0.5000 0.5000 0.5000
Cu1 0.5000 0.5000 0.1626
Cu2 0.5000 0.5000 0.8374
# Crystal system: tetragonal
# Final energy: -27.5 eV per cell
# E_form: -299 meV/atom

---

# Dy6AlCu5 GGA-PBE relaxed
data_Dy6AlCu5
_chemical_formula_sum 'Dy6 Al1 Cu5'
_cell_length_a 4.9159
_cell_length_b 7.0377
_cell_length_c 7.8033
_cell_angle_alpha 90.00
_cell_angle_beta 108.38
_cell_angle_gamma 90.00
_space_group_name_H-M_alt 'P 1'
_space_group_IT_number 1
loop_
_space_group_symop_operation_xyz
'x,y,z'
loop_
_atom_site_label
_atom_site_fract_x
_atom_site_fract_y
_atom_site_fract_z
Dy1 0.0000 0.2398 0.0000
Dy2 0.0000 0.7602 0.0000
Dy3 0.3305 0.2483 0.6606
Dy4 0.3305 0.7517 0.6606
Dy5 0.6695 0.2483 0.3394
Dy6 0.6695 0.7517 0.3394
Al1 0.5000 0.5000 0.0000
Cu1 0.1544 0.5000 0.3091
Cu2 0.1665 0.0000 0.3355
Cu3 0.5000 0.0000 0.0000
Cu4 0.8335 0.0000 0.6645
Cu5 0.8456 0.5000 0.6909
# Crystal system: monoclinic
# Final energy: -55.0 eV per cell
# E_form: -267 meV/atom

---

# Dy3Al4Cu2 GGA-PBE relaxed
data_Dy3Al4Cu2
_chemical_formula_sum 'Dy3 Al4 Cu2'
_cell_length_a 5.7180
_cell_length_b 5.7180
_cell_length_c 8.4611
_cell_angle_alpha 111.16
_cell_angle_beta 111.16
_cell_angle_gamma 45.84
_space_group_name_H-M_alt 'P 1'
_space_group_IT_number 1
loop_
_space_group_symop_operation_xyz
'x,y,z'
loop_
_atom_site_label
_atom_site_fract_x
_atom_site_fract_y
_atom_site_fract_z
Dy1 0.0000 0.0000 0.0000
Dy2 0.3244 0.3244 0.3494
Dy3 0.6756 0.6756 0.6506
Al1 0.0292 0.0292 0.3619
Al2 0.2692 0.2692 0.9255
Al3 0.7308 0.7308 0.0745
Al4 0.9708 0.9708 0.6381
Cu1 0.4062 0.4062 0.7351
Cu2 0.5938 0.5938 0.2649
# Crystal system: monoclinic
# Final energy: -40.9 eV per cell
# E_form: -440 meV/atom

---

# DyAl3Cu2 GGA-PBE relaxed
data_DyAl3Cu2
_chemical_formula_sum 'Dy2 Al6 Cu4'
_cell_length_a 6.3257
_cell_length_b 6.3257
_cell_length_c 5.2073
_cell_angle_alpha 90.00
_cell_angle_beta 90.00
_cell_angle_gamma 79.00
_space_group_name_H-M_alt 'P 1'
_space_group_IT_number 1
loop_
_space_group_symop_operation_xyz
'x,y,z'
loop_
_atom_site_label
_atom_site_fract_x
_atom_site_fract_y
_atom_site_fract_z
Dy1 0.1585 0.8415 0.7500
Dy2 0.8415 0.1585 0.2500
Al1 0.0409 0.6001 0.2500
Al2 0.3999 0.9591 0.2500
Al3 0.4562 0.5438 0.2500
Al4 0.5438 0.4562 0.7500
Al5 0.6001 0.0409 0.7500
Al6 0.9591 0.3999 0.7500
Cu1 0.2834 0.2834 0.0000
Cu2 0.2834 0.2834 0.5000
Cu3 0.7166 0.7166 0.0000
Cu4 0.7166 0.7166 0.5000
# Crystal system: orthorhombic
# Final energy: -52.1 eV per cell
# E_form: -335 meV/atom

---

# DyAl3Cu3 GGA-PBE relaxed
data_DyAl3Cu3
_chemical_formula_sum 'Dy2 Al6 Cu6'
_cell_length_a 6.5740
_cell_length_b 6.5740
_cell_length_c 6.5740
_cell_angle_alpha 71.47
_cell_angle_beta 71.47
_cell_angle_gamma 71.47
_space_group_name_H-M_alt 'P 1'
_space_group_IT_number 1
loop_
_space_group_symop_operation_xyz
'x,y,z'
loop_
_atom_site_label
_atom_site_fract_x
_atom_site_fract_y
_atom_site_fract_z
Dy1 0.1757 0.1757 0.1757
Dy2 0.8243 0.8243 0.8243
Al1 0.0699 0.3590 0.6865
Al2 0.3135 0.9301 0.6410
Al3 0.3590 0.6865 0.0699
Al4 0.6410 0.3135 0.9301
Al5 0.6865 0.0699 0.3590
Al6 0.9301 0.6410 0.3135
Cu1 0.1800 0.7279 0.4547
Cu2 0.2721 0.5453 0.8200
Cu3 0.4547 0.1800 0.7279
Cu4 0.5453 0.8200 0.2721
Cu5 0.7279 0.4547 0.1800
Cu6 0.8200 0.2721 0.5453
# Crystal system: trigonal
# Energy above the lowest structure with this stoichiometry: 16 meV/atom
# Final energy: -59.3 eV per cell
# E_form: -222 meV/atom

---

# DyAl2Cu9 GGA-PBE relaxed
data_DyAl2Cu9
_chemical_formula_sum 'Dy2 Al4 Cu18'
_cell_length_a 7.8683
_cell_length_b 7.8683
_cell_length_c 7.8683
_cell_angle_alpha 100.09
_cell_angle_beta 100.09
_cell_angle_gamma 130.52
_space_group_name_H-M_alt 'P 1'
_space_group_IT_number 1
loop_
_space_group_symop_operation_xyz
'x,y,z'
loop_
_atom_site_label
_atom_site_fract_x
_atom_site_fract_y
_atom_site_fract_z
Dy1 0.3750 0.6250 0.7500
Dy2 0.6250 0.3750 0.2500
Al1 0.0000 0.0000 0.0000
Al2 0.0000 0.0000 0.5000
Al3 0.0000 0.5000 0.0000
Al4 0.5000 0.0000 0.5000
Cu1 0.1250 0.8750 0.2500
Cu2 0.1373 0.5579 0.3352
Cu3 0.1373 0.8022 0.5794
Cu4 0.1978 0.2773 0.3352
Cu5 0.1978 0.8627 0.9206
Cu6 0.2773 0.1978 0.8352
Cu7 0.2773 0.4421 0.0794
Cu8 0.4421 0.2773 0.5794
Cu9 0.4421 0.8627 0.1648
Cu10 0.5579 0.1373 0.8352
Cu11 0.5579 0.7227 0.4206
Cu12 0.7227 0.5579 0.9206
Cu13 0.7227 0.8022 0.1648
Cu14 0.8022 0.1373 0.0794
Cu15 0.8022 0.7227 0.6648
Cu16 0.8627 0.1978 0.4206
Cu17 0.8627 0.4421 0.6648
Cu18 0.8750 0.1250 0.7500
# Crystal system: tetragonal
# Energy above the lowest structure with this stoichiometry: 0 meV/atom
# Final energy: -102.6 eV per cell
# E_form: -194 meV/atom

---

# Dy12AlCu6 GGA-PBE relaxed
data_Dy12AlCu6
_chemical_formula_sum 'Dy12 Al1 Cu6'
_cell_length_a 8.5034
_cell_length_b 8.5034
_cell_length_c 8.5034
_cell_angle_alpha 109.47
_cell_angle_beta 109.47
_cell_angle_gamma 109.47
_space_group_name_H-M_alt 'P 1'
_space_group_IT_number 1
loop_
_space_group_symop_operation_xyz
'x,y,z'
loop_
_atom_site_label
_atom_site_fract_x
_atom_site_fract_y
_atom_site_fract_z
Dy1 0.1075 0.2952 0.8123
Dy2 0.1877 0.4830 0.2952
Dy3 0.1877 0.8925 0.7048
Dy4 0.2952 0.1877 0.4830
Dy5 0.2952 0.8123 0.1075
Dy6 0.4830 0.2952 0.1877
Dy7 0.5170 0.7048 0.8123
Dy8 0.7048 0.1877 0.8925
Dy9 0.7048 0.8123 0.5170
Dy10 0.8123 0.1075 0.2952
Dy11 0.8123 0.5170 0.7048
Dy12 0.8925 0.7048 0.1877
Al1 0.0000 0.0000 0.0000
Cu1 0.1247 0.5000 0.6247
Cu2 0.3753 0.8753 0.5000
Cu3 0.5000 0.3753 0.8753
Cu4 0.5000 0.6247 0.1247
Cu5 0.6247 0.1247 0.5000
Cu6 0.8753 0.5000 0.3753
# Crystal system: cubic
# Final energy: -87.0 eV per cell
# E_form: -181 meV/atom

---

# DyAl7Cu5 GGA-PBE relaxed
data_DyAl7Cu5
_chemical_formula_sum 'Dy1 Al7 Cu5'
_cell_length_a 6.6819
_cell_length_b 6.6819
_cell_length_c 6.6819
_cell_angle_alpha 135.10
_cell_angle_beta 97.72
_cell_angle_gamma 99.05
_space_group_name_H-M_alt 'P 1'
_space_group_IT_number 1
loop_
_space_group_symop_operation_xyz
'x,y,z'
loop_
_atom_site_label
_atom_site_fract_x
_atom_site_fract_y
_atom_site_fract_z
Dy1 0.0000 0.0000 0.0000
Al1 0.1983 0.4912 0.7071
Al2 0.2247 0.7247 0.5000
Al3 0.3499 0.3499 0.0000
Al4 0.3537 0.0061 0.3476
Al5 0.6549 0.6549 0.0000
Al6 0.6585 0.0061 0.6524
Al7 0.7840 0.4912 0.2929
Cu1 0.9997 0.4978 0.0048
Cu2 0.9997 0.9950 0.5020
Cu3 0.4930 0.4978 0.4980
Cu4 0.4930 0.9950 0.9952
Cu5 0.7718 0.2718 0.5000
# Crystal system: orthorhombic
# Final energy: -55.8 eV per cell
# E_form: -347 meV/atom

---

Q: final energy of number 2 (Dy6AlCu5)?
A: -55.0 eV per cell

---

Q: What is the E_form in the first record?
A: -299 meV/atom